[1]
## RbSmMgI6 (PBE-GGA)

Data for a geometry-optimized RbSmMgI6 structure.

Cell: 7.835 7.835 16.432 Å, 90.00 90.00 120.00°
Fractional positions:
I (0.014, 0.636, 0.856)
I (0.378, 0.364, 0.356)
I (0.986, 0.364, 0.144)
I (0.378, 0.014, 0.144)
I (0.364, 0.378, 0.856)
I (0.014, 0.378, 0.644)
I (0.636, 0.014, 0.356)
I (0.636, 0.622, 0.144)
I (0.364, 0.986, 0.644)
I (0.986, 0.622, 0.356)
I (0.622, 0.636, 0.644)
I (0.622, 0.986, 0.856)
Sm (0.333, 0.667, 0.250)
Sm (0.667, 0.333, 0.750)
Rb (0.000, 0.000, 0.000)
Rb (0.000, 0.000, 0.500)
Mg (0.667, 0.333, 0.250)
Mg (0.333, 0.667, 0.750)

Results
ΔE_f (raw)   -1.3025 eV/atom
D(E_F)   0.00 states/eV/f.u.
Density   3.88 g/cm³
Spin magnetization   0.0 μB per formula unit

---

[2]
## RbSrMgI5 (PBE-GGA)

Data for a geometry-optimized RbSrMgI5 structure.

Cell: 8.852 8.852 11.754 Å, 104.40 104.40 105.54°
Fractional positions:
I (0.093, 0.907, 0.250)
I (0.907, 0.093, 0.750)
I (0.335, 0.915, 0.629)
I (0.610, 0.744, 0.935)
I (0.256, 0.390, 0.565)
I (0.085, 0.665, 0.871)
I (0.665, 0.085, 0.371)
I (0.390, 0.256, 0.065)
I (0.915, 0.335, 0.129)
I (0.744, 0.610, 0.435)
Mg (0.315, 0.685, 0.750)
Mg (0.685, 0.315, 0.250)
Sr (0.000, 0.000, 0.500)
Sr (0.000, 0.000, 0.000)
Rb (0.351, 0.649, 0.250)
Rb (0.649, 0.351, 0.750)

Results
ΔE_f (raw)   -1.3881 eV/atom
D(E_F)   0.00 states/eV/f.u.
Density   3.42 g/cm³
Spin magnetization   0.0 μB per formula unit

---

[3]
## RbTbMgI6 (PBE-GGA)

Data for a geometry-optimized RbTbMgI6 structure.

Cell: 7.769 7.769 16.492 Å, 90.00 90.00 120.00°
Fractional positions:
I (0.009, 0.376, 0.145)
I (0.367, 0.991, 0.145)
I (0.624, 0.991, 0.355)
I (0.376, 0.009, 0.645)
I (0.991, 0.367, 0.645)
I (0.624, 0.633, 0.145)
I (0.633, 0.624, 0.645)
I (0.991, 0.624, 0.855)
I (0.633, 0.009, 0.855)
I (0.009, 0.633, 0.355)
I (0.367, 0.376, 0.355)
I (0.376, 0.367, 0.855)
Rb (0.000, 0.000, 0.000)
Rb (0.000, 0.000, 0.500)
Tb (0.333, 0.667, 0.750)
Tb (0.667, 0.333, 0.250)
Mg (0.333, 0.667, 0.250)
Mg (0.667, 0.333, 0.750)

Results
ΔE_f (raw)   -1.3007 eV/atom
D(E_F)   0.00 states/eV/f.u.
Density   3.97 g/cm³
Spin magnetization   0.0 μB per formula unit

---

[4]
## Rb2MgTcI6 (PBE-GGA)

Data for a geometry-optimized Rb2MgTcI6 structure.

Cell: 8.174 8.174 8.179 Å, 60.02 60.02 90.00°
Fractional positions:
I (0.756, 0.756, 0.000)
I (0.757, 0.757, 0.486)
I (0.756, 0.244, 0.000)
I (0.244, 0.756, 0.000)
I (0.244, 0.244, 0.000)
I (0.243, 0.243, 0.514)
Rb (0.750, 0.250, 0.500)
Rb (0.250, 0.750, 0.500)
Mg (0.500, 0.500, 0.000)
Tc (0.000, 0.000, 0.000)

Results
ΔE_f (raw)   -0.6950 eV/atom
D(E_F)   12.12 states/eV/f.u.
Density   4.53 g/cm³
Spin magnetization   2.6 μB per formula unit

---

[5]
## Rb2MgTeI6 (PBE-GGA)

Data for a geometry-optimized Rb2MgTeI6 structure.

Cell: 8.554 8.554 8.918 Å, 61.34 61.34 90.00°
Fractional positions:
Rb (0.250, 0.750, 0.500)
Rb (0.750, 0.250, 0.500)
I (0.709, 0.709, 0.583)
I (0.245, 0.245, 0.000)
I (0.291, 0.291, 0.417)
I (0.755, 0.755, 0.000)
I (0.245, 0.755, 0.000)
I (0.755, 0.245, 0.000)
Te (0.000, 0.000, 0.000)
Mg (0.500, 0.500, 0.000)

Results
ΔE_f (raw)   -0.8289 eV/atom
D(E_F)   0.00 states/eV/f.u.
Density   3.75 g/cm³
Spin magnetization   0.0 μB per formula unit

---

[6]
## RbMgTeI2 (PBE-GGA)

Data for a geometry-optimized RbMgTeI2 structure.

Cell: 5.984 5.984 5.613 Å, 90.00 90.00 90.00°
Fractional positions:
Te (0.000, 0.000, 0.500)
Rb (0.500, 0.500, 0.500)
Mg (0.000, 0.000, 0.000)
I (0.000, 0.500, 0.000)
I (0.500, 0.000, 0.000)

Results
ΔE_f (raw)   -0.8268 eV/atom
D(E_F)   4.26 states/eV/f.u.
Density   4.06 g/cm³
Spin magnetization   0.9 μB per formula unit

---

[7]
## RbMgTeI2 (PBE-GGA)

Data for a geometry-optimized RbMgTeI2 structure.

Cell: 6.753 6.753 6.615 Å, 90.00 90.00 90.00°
Fractional positions:
I (0.500, 0.000, 0.000)
I (0.000, 0.500, 0.000)
Te (0.000, 0.000, 0.500)
Mg (0.500, 0.500, 0.500)
Rb (0.000, 0.000, 0.000)

Results
ΔE_f (raw)   0.2070 eV/atom
D(E_F)   5.98 states/eV/f.u.
Density   2.70 g/cm³
Spin magnetization   1.1 μB per formula unit

---

[8]
## RbMgTiI6 (PBE-GGA)

Data for a geometry-optimized RbMgTiI6 structure.

Cell: 7.499 7.499 16.523 Å, 90.00 90.00 120.00°
Fractional positions:
I (0.377, 0.367, 0.850)
I (0.367, 0.990, 0.150)
I (0.633, 0.623, 0.650)
I (0.367, 0.377, 0.350)
I (0.990, 0.367, 0.650)
I (0.623, 0.990, 0.350)
I (0.010, 0.377, 0.150)
I (0.377, 0.010, 0.650)
I (0.010, 0.633, 0.350)
I (0.633, 0.010, 0.850)
I (0.623, 0.633, 0.150)
I (0.990, 0.623, 0.850)
Mg (0.667, 0.333, 0.250)
Mg (0.333, 0.667, 0.750)
Ti (0.667, 0.333, 0.750)
Ti (0.333, 0.667, 0.250)
Rb (0.000, 0.000, 0.000)
Rb (0.000, 0.000, 0.500)

Results
ΔE_f (raw)   -0.9907 eV/atom
D(E_F)   6.98 states/eV/f.u.
Density   3.79 g/cm³
Spin magnetization   1.0 μB per formula unit

---

[9]
## Rb3MgTl3I8 (PBE-GGA)

Data for a geometry-optimized Rb3MgTl3I8 structure.

Cell: 10.298 10.298 10.054 Å, 120.81 90.00 120.00°
Fractional positions:
I (0.791, 0.582, 0.284)
I (0.799, 0.007, 0.716)
I (0.209, 0.418, 0.716)
I (0.246, 0.493, 0.240)
I (0.201, 0.993, 0.284)
I (0.754, 0.507, 0.760)
I (0.209, 0.007, 0.716)
I (0.791, 0.993, 0.284)
Tl (0.000, 0.000, 0.000)
Tl (0.000, 0.500, 0.000)
Tl (0.500, 0.500, 0.000)
Rb (0.500, 0.000, 0.500)
Rb (0.000, 0.500, 0.500)
Rb (0.500, 0.500, 0.500)
Mg (0.000, 0.000, 0.500)

Results
ΔE_f (raw)   -1.0604 eV/atom
D(E_F)   0.00 states/eV/f.u.
Density   4.26 g/cm³
Spin magnetization   0.0 μB per formula unit

---

[10]
## RbMgTl2I (PBE-GGA)

Data for a geometry-optimized RbMgTl2I structure.

Cell: 5.552 7.716 5.552 Å, 90.00 90.00 90.00°
Fractional positions:
Tl (0.500, 0.000, 0.000)
Tl (0.000, 0.000, 0.500)
I (0.500, 0.500, 0.500)
Mg (0.000, 0.000, 0.000)
Rb (0.000, 0.500, 0.000)

Results
ΔE_f (raw)   -0.1546 eV/atom
D(E_F)   3.90 states/eV/f.u.
Density   4.51 g/cm³
Spin magnetization   0.0 μB per formula unit

---

[11]
## RbTmMgI6 (PBE-GGA)

Data for a geometry-optimized RbTmMgI6 structure.

Cell: 7.697 7.697 16.612 Å, 90.00 90.00 120.00°
Fractional positions:
I (0.373, 0.005, 0.646)
I (0.367, 0.995, 0.146)
I (0.005, 0.633, 0.354)
I (0.995, 0.367, 0.646)
I (0.995, 0.627, 0.854)
I (0.627, 0.633, 0.146)
I (0.627, 0.995, 0.354)
I (0.633, 0.005, 0.854)
I (0.367, 0.373, 0.354)
I (0.373, 0.367, 0.854)
I (0.633, 0.627, 0.646)
I (0.005, 0.373, 0.146)
Mg (0.667, 0.333, 0.750)
Mg (0.333, 0.667, 0.250)
Tm (0.667, 0.333, 0.250)
Tm (0.333, 0.667, 0.750)
Rb (0.000, 0.000, 0.000)
Rb (0.000, 0.000, 0.500)

Results
ΔE_f (raw)   -1.2893 eV/atom
D(E_F)   0.00 states/eV/f.u.
Density   4.05 g/cm³
Spin magnetization   0.0 μB per formula unit

---

[12]
## RbMgUI6 (PBE-GGA)

Data for a geometry-optimized RbMgUI6 structure.

Cell: 7.930 7.930 16.159 Å, 90.00 90.00 120.00°
Fractional positions:
I (0.382, 0.016, 0.141)
I (0.618, 0.635, 0.641)
I (0.016, 0.635, 0.859)
I (0.382, 0.365, 0.359)
I (0.635, 0.618, 0.141)
I (0.365, 0.984, 0.641)
I (0.635, 0.016, 0.359)
I (0.016, 0.382, 0.641)
I (0.984, 0.365, 0.141)
I (0.365, 0.382, 0.859)
I (0.984, 0.618, 0.359)
I (0.618, 0.984, 0.859)
U (0.333, 0.667, 0.250)
U (0.667, 0.333, 0.750)
Rb (0.000, 0.000, 0.500)
Rb (0.000, 0.000, 0.000)
Mg (0.667, 0.333, 0.250)
Mg (0.333, 0.667, 0.750)

Results
ΔE_f (raw)   -1.0306 eV/atom
D(E_F)   0.78 states/eV/f.u.
Density   4.19 g/cm³
Spin magnetization   3.0 μB per formula unit

---

[13]
## RbMgVI6 (PBE-GGA)

Data for a geometry-optimized RbMgVI6 structure.

Cell: 7.430 7.430 8.295 Å, 90.00 90.00 60.00°
Fractional positions:
I (0.637, 0.377, 0.696)
I (0.986, 0.637, 0.696)
I (0.637, 0.986, 0.304)
I (0.377, 0.637, 0.304)
I (0.986, 0.377, 0.304)
I (0.377, 0.986, 0.696)
Mg (0.333, 0.333, 0.500)
Rb (0.000, 0.000, 0.000)
V (0.667, 0.667, 0.500)

Results
ΔE_f (raw)   -0.8567 eV/atom
D(E_F)   9.29 states/eV/f.u.
Density   3.86 g/cm³
Spin magnetization   2.0 μB per formula unit

---

[14]
## RbYMgI6 (PBE-GGA)

Data for a geometry-optimized RbYMgI6 structure.

Cell: 7.756 7.756 16.497 Å, 90.00 90.00 120.00°
Fractional positions:
Mg (0.333, 0.667, 0.250)
Mg (0.667, 0.333, 0.750)
I (0.633, 0.009, 0.855)
I (0.009, 0.633, 0.355)
I (0.991, 0.624, 0.855)
I (0.367, 0.991, 0.145)
I (0.991, 0.367, 0.645)
I (0.633, 0.624, 0.645)
I (0.624, 0.633, 0.145)
I (0.376, 0.367, 0.855)
I (0.367, 0.376, 0.355)
I (0.009, 0.376, 0.145)
I (0.376, 0.009, 0.645)
I (0.624, 0.991, 0.355)
Rb (0.000, 0.000, 0.500)
Rb (0.000, 0.000, 0.000)
Y (0.667, 0.333, 0.250)
Y (0.333, 0.667, 0.750)

Results
ΔE_f (raw)   -1.3032 eV/atom
D(E_F)   0.00 states/eV/f.u.
Density   3.71 g/cm³
Spin magnetization   0.0 μB per formula unit

---

[15]
## Rb2MgZnI (PBE-GGA)

Data for a geometry-optimized Rb2MgZnI structure.

Cell: 6.944 7.027 6.944 Å, 90.00 90.00 90.00°
Fractional positions:
I (0.000, 0.000, 0.000)
Zn (0.000, 0.500, 0.000)
Rb (0.500, 0.000, 0.000)
Rb (0.000, 0.000, 0.500)
Mg (0.500, 0.500, 0.500)

Results
ΔE_f (raw)   -0.0543 eV/atom
D(E_F)   4.85 states/eV/f.u.
Density   1.90 g/cm³
Spin magnetization   0.0 μB per formula unit

---

[16]
## Rb2MgZrI6 (PBE-GGA)

Data for a geometry-optimized Rb2MgZrI6 structure.

Cell: 8.377 8.377 8.377 Å, 60.00 60.00 90.00°
Fractional positions:
I (0.748, 0.748, 0.000)
I (0.252, 0.252, 0.000)
I (0.748, 0.252, 0.000)
I (0.748, 0.748, 0.504)
I (0.252, 0.252, 0.496)
I (0.252, 0.748, 0.000)
Zr (0.000, 0.000, 0.000)
Rb (0.250, 0.750, 0.500)
Rb (0.750, 0.250, 0.500)
Mg (0.500, 0.500, 0.000)

Results
ΔE_f (raw)   -0.9818 eV/atom
D(E_F)   7.11 states/eV/f.u.
Density   4.19 g/cm³
Spin magnetization   2.0 μB per formula unit

---

[17]
## RbMgZr2I (PBE-GGA)

Data for a geometry-optimized RbMgZr2I structure.

Cell: 5.317 6.963 5.317 Å, 90.00 90.00 90.00°
Fractional positions:
Zr (0.000, 0.000, 0.500)
Zr (0.500, 0.000, 0.000)
I (0.500, 0.500, 0.500)
Rb (0.000, 0.500, 0.000)
Mg (0.000, 0.000, 0.000)

Results
ΔE_f (raw)   0.9972 eV/atom
D(E_F)   7.18 states/eV/f.u.
Density   3.54 g/cm³
Spin magnetization   1.0 μB per formula unit

---

[18]
## Mg3ReI (PBE-GGA)

Data for a geometry-optimized Mg3ReI structure.

Cell: 5.324 5.324 5.324 Å, 90.00 90.00 90.00°
Fractional positions:
Mg (0.000, 0.000, 0.500)
Mg (0.500, 0.000, 0.000)
Mg (0.000, 0.500, 0.000)
Re (0.000, 0.000, 0.000)
I (0.500, 0.500, 0.500)

Results
ΔE_f (raw)   0.8526 eV/atom
D(E_F)   6.80 states/eV/f.u.
Density   4.25 g/cm³
Spin magnetization   2.5 μB per formula unit

---

[19]
## Mg2ReI (PBE-GGA)

Data for a geometry-optimized Mg2ReI structure.

Cell: 7.870 7.870 6.297 Å, 51.32 51.32 90.00°
Fractional positions:
I (0.500, 0.500, 0.000)
I (0.250, 0.750, 0.500)
Mg (0.375, 0.351, 0.750)
Mg (0.649, 0.125, 0.250)
Mg (0.875, 0.899, 0.750)
Mg (0.101, 0.625, 0.250)
Re (0.750, 0.250, 0.500)
Re (0.000, 0.000, 0.000)

Results
ΔE_f (raw)   0.9595 eV/atom
D(E_F)   3.64 states/eV/f.u.
Density   6.58 g/cm³
Spin magnetization   1.8 μB per formula unit

---

[20]
## MgRe2I (PBE-GGA)

Data for a geometry-optimized MgRe2I structure.

Cell: 4.551 4.551 4.551 Å, 60.00 60.00 60.00°
Fractional positions:
Re (0.750, 0.750, 0.750)
Re (0.250, 0.250, 0.250)
Mg (0.000, 0.000, 0.000)
I (0.500, 0.500, 0.500)

Results
ΔE_f (raw)   1.2092 eV/atom
D(E_F)   2.26 states/eV/f.u.
Density   13.04 g/cm³
Spin magnetization   0.0 μB per formula unit